Material: MnCoPIrF
Method: DFT, GGA+U
State: relaxed

Calculated values
- E: -6.28 eV/atom
- Total magnetization: 14.03 Bohr magnetons per cell

Unit cell a=9.3225 b=3.0457 c=5.7925 alpha=90.00 beta=108.33 gamma=90.00
Positions (direct):
Mn1 0.0000 0.0000 0.0000
Mn2 0.5000 0.5000 0.0000
Co1 0.1721 0.5000 0.7068
Co2 0.6721 0.0000 0.7068
P1 0.0089 0.0000 0.4639
P2 0.5089 0.5000 0.4639
Ir1 0.3582 0.0000 0.5905
Ir2 0.8582 0.5000 0.5905
F1 0.1681 0.5000 0.0744
F2 0.6681 0.0000 0.0744